No. 1
Crystalline NaYMnCl6 at its relaxed geometry, computed with PBE.

a = 6.500 Å, b = 6.500 Å, c = 12.600 Å
α = 90.00°, β = 90.00°, γ = 120.00°
Fractional positions:
Mn 0.667 0.333 0.250
Mn 0.333 0.667 0.750
Na 0.000 0.000 0.000
Na 0.000 0.000 0.500
Cl 0.660 0.028 0.363
Cl 0.632 0.660 0.637
Cl 0.368 0.340 0.363
Cl 0.340 0.368 0.863
Cl 0.972 0.340 0.137
Cl 0.632 0.972 0.863
Cl 0.660 0.632 0.137
Cl 0.368 0.028 0.137
Cl 0.340 0.972 0.637
Cl 0.028 0.368 0.637
Cl 0.972 0.632 0.363
Cl 0.028 0.660 0.863
Y 0.667 0.333 0.750
Y 0.333 0.667 0.250

space group = P-31c, No. 163

No. 2
Crystalline NaMnZnCl6 at its relaxed geometry, computed with PBE.

a = 6.315 Å, b = 6.315 Å, c = 12.491 Å
α = 90.00°, β = 90.00°, γ = 120.00°
Fractional positions:
Mn 0.333 0.667 0.750
Mn 0.667 0.333 0.250
Cl 0.010 0.371 0.639
Cl 0.629 0.639 0.639
Cl 0.639 0.010 0.361
Cl 0.361 0.371 0.861
Cl 0.629 0.990 0.861
Cl 0.010 0.639 0.861
Cl 0.361 0.990 0.639
Cl 0.639 0.629 0.139
Cl 0.371 0.010 0.139
Cl 0.990 0.629 0.361
Cl 0.371 0.361 0.361
Cl 0.990 0.361 0.139
Na 0.000 0.000 0.000
Na 0.000 0.000 0.500
Zn 0.667 0.333 0.750
Zn 0.333 0.667 0.250

space group = P-31c, No. 163

No. 3
Crystalline Na2MnZnCl6 at its relaxed geometry, computed with PBE.

a = 6.732 Å, b = 6.731 Å, c = 6.991 Å
α = 61.22°, β = 61.22°, γ = 60.00°
Fractional positions:
Mn 0.818 0.818 0.546
Na 0.029 0.029 0.913
Na 0.528 0.528 0.415
Cl 0.464 0.681 0.767
Cl 0.185 0.968 0.263
Cl 0.583 0.185 0.263
Cl 0.681 0.088 0.767
Cl 0.088 0.464 0.767
Cl 0.968 0.583 0.263
Zn 0.317 0.317 0.050

space group = R3, No. 146

| no. | energy (eV for the cell shown) | magnetization (Bohr magnetons per cell) | uncorrected formation energy (meV per atom) |
| --- | --- | --- | --- |
| 1 | -83.7 | 1.989 | -1538 |
| 2 | -66.6 | 8.000 | -1164 |
| 3 | -37.5 | 5.000 | -1337 |